# 1
A plane-wave DFT calculation with PBE was carried out for a geometry-optimized Ba4CuPt structure.

Its density of states at the Fermi level is 7.06 states/eV per cell. The calculation puts the energy above the most stable polymorph in this dataset at 1044.4 meV per atom. The formation energy is 0.73 eV/atom.

Unit cell a=6.895 b=6.895 c=6.895 alpha=60.00 beta=60.00 gamma=60.00
Element x y z (fractional)
Cu  0.750  0.750  0.750
Pt  0.000  0.000  0.000
Ba  0.374  0.374  0.877
Ba  0.374  0.374  0.374
Ba  0.877  0.374  0.374
Ba  0.374  0.877  0.374

# 2
A plane-wave DFT calculation with PBE was carried out for a geometry-optimized Ba6CuPt structure.

Its density of states at the Fermi level is 7.38 states/eV per cell. The formation energy is -0.25 eV/atom.

Unit cell a=7.928 b=7.925 c=8.848 alpha=63.35 beta=63.38 gamma=59.98
Element x y z (fractional)
Ba  0.402  0.755  0.756
Ba  0.087  0.403  0.755
Ba  0.245  0.914  0.244
Ba  0.755  0.086  0.756
Ba  0.913  0.597  0.245
Ba  0.598  0.245  0.244
Pt  0.000  0.000  0.000
Cu  0.500  0.500  0.500

Repeat the second record exactly.
A plane-wave DFT calculation with PBE was carried out for a geometry-optimized Ba6CuPt structure.

Its density of states at the Fermi level is 7.38 states/eV per cell. The formation energy is -0.25 eV/atom.

Unit cell a=7.928 b=7.925 c=8.848 alpha=63.35 beta=63.38 gamma=59.98
Element x y z (fractional)
Ba  0.402  0.755  0.756
Ba  0.087  0.403  0.755
Ba  0.245  0.914  0.244
Ba  0.755  0.086  0.756
Ba  0.913  0.597  0.245
Ba  0.598  0.245  0.244
Pt  0.000  0.000  0.000
Cu  0.500  0.500  0.500

What did the second record say?
A plane-wave DFT calculation with PBE was carried out for a geometry-optimized Ba6CuPt structure.

Its density of states at the Fermi level is 7.38 states/eV per cell. The formation energy is -0.25 eV/atom.

Unit cell a=7.928 b=7.925 c=8.848 alpha=63.35 beta=63.38 gamma=59.98
Element x y z (fractional)
Ba  0.402  0.755  0.756
Ba  0.087  0.403  0.755
Ba  0.245  0.914  0.244
Ba  0.755  0.086  0.756
Ba  0.913  0.597  0.245
Ba  0.598  0.245  0.244
Pt  0.000  0.000  0.000
Cu  0.500  0.500  0.500

Copy entry 2 word for word.
A plane-wave DFT calculation with PBE was carried out for a geometry-optimized Ba6CuPt structure.

Its density of states at the Fermi level is 7.38 states/eV per cell. The formation energy is -0.25 eV/atom.

Unit cell a=7.928 b=7.925 c=8.848 alpha=63.35 beta=63.38 gamma=59.98
Element x y z (fractional)
Ba  0.402  0.755  0.756
Ba  0.087  0.403  0.755
Ba  0.245  0.914  0.244
Ba  0.755  0.086  0.756
Ba  0.913  0.597  0.245
Ba  0.598  0.245  0.244
Pt  0.000  0.000  0.000
Cu  0.500  0.500  0.500